(1)
Entry from Alexandria via LeMat-Bulk: an optimized crystal structure of Ba6As2PI2 (PBE).

Lattice parameters (Å, degrees): 8.3565 8.3565 8.7693 99.28 99.28 119.91
Last column: nearest neighbours and their distance in Å.
Sites, in units of the cell vectors:
Ba  0.0706  0.3972  0.2048  1 P 3.22, 2 As 3.28
Ba  0.2605  0.2605  0.7964  1 P 3.23, 2 As 3.28
Ba  0.3972  0.0706  0.2048  1 P 3.22, 2 As 3.28
Ba  0.6028  0.9294  0.7952  1 P 3.22, 2 As 3.28
Ba  0.7395  0.7395  0.2036  1 P 3.23, 2 As 3.28
Ba  0.9294  0.6028  0.7952  1 P 3.22, 2 As 3.28
As  0.3325  0.6675  0.0000  6 Ba 3.28
As  0.6675  0.3325  0.0000  6 Ba 3.28
P  0.0000  0.0000  0.0000  6 Ba 3.22-3.23
I  0.1676  0.8324  0.5000  6 Ba 3.71-3.73
I  0.8324  0.1676  0.5000  6 Ba 3.71-3.73


(2)
Entry from Alexandria via LeMat-Bulk: an optimized crystal structure of Ba4AsPbI2 (PBE).

Lattice parameters (Å, degrees): 8.9121 4.7532 9.0253 90.00 107.29 90.00
Last column: nearest neighbours and their distance in Å.
Sites, in units of the cell vectors:
Ba  0.2239  0.0000  0.2067  2 As 3.30, 1 Pb 3.50
Ba  0.2395  0.5000  0.7792  1 As 3.32, 2 Pb 3.50, 2 I 3.65
Ba  0.7605  0.5000  0.2208  1 As 3.32, 2 Pb 3.50, 2 I 3.65
Ba  0.7761  0.0000  0.7933  2 As 3.30, 1 Pb 3.50
As  0.0000  0.5000  0.0000  6 Ba 3.30-3.32
Pb  0.5000  0.0000  0.0000  6 Ba 3.50
I  0.0000  0.0000  0.5000  6 Ba 3.65-3.76
I  0.5000  0.5000  0.5000  6 Ba 3.85-3.90


(3)
Entry from Alexandria via LeMat-Bulk: an optimized crystal structure of Ba6As2PbI3 (PBE).

Lattice parameters (Å, degrees): 11.3672 11.3672 10.4609 104.66 104.66 24.38
Last column: nearest neighbours and their distance in Å.
Sites, in units of the cell vectors:
Ba  0.0153  0.0153  0.2505  1 As 3.29, 2 Pb 3.50, 2 I 3.63
Ba  0.3217  0.3217  0.4409  3 As 3.29
Ba  0.3360  0.3360  0.8790  2 As 3.30, 1 Pb 3.54, 1 I 3.68
Ba  0.6640  0.6640  0.1210  2 As 3.30, 1 Pb 3.54, 1 I 3.68
Ba  0.6783  0.6783  0.5591  3 As 3.29
Ba  0.9847  0.9847  0.7495  1 As 3.29, 2 Pb 3.50, 2 I 3.63
As  0.1686  0.1686  0.3398  6 Ba 3.29-3.30
As  0.8314  0.8314  0.6602  6 Ba 3.29-3.30
Pb  0.5000  0.5000  0.0000  6 Ba 3.50-3.54
I  0.1659  0.1659  0.8309  6 Ba 3.68-3.89
I  0.5000  0.5000  0.5000  6 Ba 3.63-3.85
I  0.8341  0.8341  0.1691  6 Ba 3.68-3.89


(4)
Entry from Alexandria via LeMat-Bulk: an optimized crystal structure of Ba8AsPb3I4 (PBE).

Lattice parameters (Å, degrees): 10.5044 10.5044 10.5044 56.21 56.21 56.21
Last column: nearest neighbours and their distance in Å.
Sites, in units of the cell vectors:
Ba  0.2461  0.2461  0.2461  3 Pb 3.55, 3 I 3.67
Ba  0.2567  0.7302  0.7302  1 As 3.31, 2 Pb 3.50
Ba  0.2698  0.2698  0.7433  1 As 3.31, 2 Pb 3.50
Ba  0.2698  0.7433  0.2698  1 As 3.31, 2 Pb 3.50
Ba  0.7302  0.2567  0.7302  1 As 3.31, 2 Pb 3.50
Ba  0.7302  0.7302  0.2567  1 As 3.31, 2 Pb 3.50
Ba  0.7433  0.2698  0.2698  1 As 3.31, 2 Pb 3.50
Ba  0.7539  0.7539  0.7539  3 Pb 3.55, 3 I 3.67
As  0.5000  0.5000  0.5000  6 Ba 3.31
Pb  0.0000  0.0000  0.5000  6 Ba 3.50-3.55
Pb  0.0000  0.5000  0.0000  6 Ba 3.50-3.55
Pb  0.5000  0.0000  0.0000  6 Ba 3.50-3.55
I  0.0000  0.0000  0.0000  6 Ba 3.91
I  0.0000  0.5000  0.5000  6 Ba 3.67-3.74
I  0.5000  0.0000  0.5000  6 Ba 3.67-3.74
I  0.5000  0.5000  0.0000  6 Ba 3.67-3.74


(5)
Entry from Alexandria via LeMat-Bulk: an optimized crystal structure of Ba6AsPd2I3 (PBE).

Lattice parameters (Å, degrees): 8.2531 8.2531 9.0017 98.83 98.83 120.02
Last column: nearest neighbours and their distance in Å.
Sites, in units of the cell vectors:
Ba  0.0983  0.4322  0.7969  2 Pd 3.25, 1 As 3.26
Ba  0.2343  0.2343  0.2038  2 Pd 3.26, 1 As 3.26
Ba  0.4322  0.0983  0.7969  2 Pd 3.25, 1 As 3.26
Ba  0.5678  0.9017  0.2031  2 Pd 3.25, 1 As 3.26
Ba  0.7657  0.7657  0.7962  2 Pd 3.26, 1 As 3.26
Ba  0.9017  0.5678  0.2031  2 Pd 3.25, 1 As 3.26
As  0.5000  0.5000  0.0000  6 Ba 3.26
Pd  0.1667  0.8333  0.0000  6 Ba 3.25-3.26
Pd  0.8333  0.1667  0.0000  6 Ba 3.25-3.26
I  0.0000  0.0000  0.5000  6 Ba 3.74-3.75
I  0.3347  0.6653  0.5000  6 Ba 3.73-3.75
I  0.6653  0.3347  0.5000  6 Ba 3.73-3.75


(6)
Entry from Alexandria via LeMat-Bulk: an optimized crystal structure of Ba6AsPd2I2 (PBE).

Lattice parameters (Å, degrees): 8.2472 8.2472 8.8267 99.01 99.01 119.21
Last column: nearest neighbours and their distance in Å.
Sites, in units of the cell vectors:
Ba  0.0964  0.4278  0.7918  2 Pd 3.25-3.26, 1 As 3.26
Ba  0.2312  0.2312  0.2011  2 Pd 3.25, 1 As 3.26
Ba  0.4278  0.0964  0.7918  2 Pd 3.25-3.26, 1 As 3.26
Ba  0.5722  0.9036  0.2082  2 Pd 3.25-3.26, 1 As 3.26
Ba  0.7688  0.7688  0.7989  2 Pd 3.25, 1 As 3.26
Ba  0.9036  0.5722  0.2082  2 Pd 3.25-3.26, 1 As 3.26
As  0.5000  0.5000  0.0000  6 Ba 3.26
Pd  0.1697  0.8303  0.0000  6 Ba 3.25-3.26
Pd  0.8303  0.1697  0.0000  6 Ba 3.25-3.26
I  0.3372  0.6628  0.5000  6 Ba 3.70-3.73
I  0.6628  0.3372  0.5000  6 Ba 3.70-3.73


no.,uncorrected formation energy (eV/atom),DOS at the Fermi energy (states/eV/cell),VASP energy (eV per atom)
1,-1.29,2.81,-3.954
2,-1.19,5.89,-3.581
3,-1.28,6.20,-3.716
4,-1.06,10.61,-3.399
5,-1.12,9.10,-3.721
6,-0.94,7.48,-3.634